Here is BaCaCo2N at its PBEsol-relaxed geometry from Alexandria via LeMat-Bulk. Energies are from meta-GGA SCAN.

Output
- Symmetry: P4/mmm (123)
- Energy relative to the elements, uncorrected: 924 kJ/mol of formula units
- Energy: -83.5 eV per cell

a = 4.298 Å, b = 4.298 Å, c = 7.005 Å
α = 90.00°, β = 90.00°, γ = 90.00°
Last column: magnetic moment on the atom in μB.
Positions (direct):
1 Co 0.000 0.500 0.000  1.38
2 Ca 0.000 0.000 0.000  -0.20
3 N 0.500 0.500 0.500  1.01
4 Co 0.500 0.000 0.000  1.38
5 Ba 0.000 0.000 0.500  -0.08